La2GdHf | PBE | optimized geometry

Cell lengths 5.048, 5.048, 4.855 Å; angles 90.00, 90.00, 90.00 degrees
Element x y z (fractional)
La: 0.000 0.500 0.000
La: 0.500 0.000 0.000
Gd: 0.000 0.000 0.500
Hf: 0.500 0.500 0.500

Output
Excess energy over the best structure of this formula in the dataset ... 0.00 eV/f.u.


LaGd2Hf | PBE | optimized geometry

Cell lengths 3.424, 3.424, 10.374 Å; angles 90.00, 90.00, 90.00 degrees
Element x y z (fractional)
La: 0.000 0.000 0.000
Gd: 0.500 0.500 0.281
Gd: 0.500 0.500 0.719
Hf: 0.000 0.000 0.500

Output
Excess energy over the best structure of this formula in the dataset ... 0.00 eV/f.u.


LaGdHf | PBE | optimized geometry

Cell lengths 3.436, 3.436, 8.654 Å; angles 90.00, 90.00, 120.00 degrees
Element x y z (fractional)
La: 0.000 0.000 0.000
Gd: 0.333 0.667 0.616
Hf: 0.667 0.333 0.314

Output
Excess energy over the best structure of this formula in the dataset ... 0.06 eV/f.u.


LiGdHf | PBE | optimized geometry

Cell lengths 7.085, 7.085, 7.085 Å; angles 153.06, 153.06, 38.47 degrees
Element x y z (fractional)
Li: 0.000 0.000 0.000
Gd: 0.682 0.682 0.000
Hf: 0.346 0.346 0.000


We obtain energy of formation values of 4.14 2.62 4.07 4.72 kcal/mol of atoms for the records listed above, in that order.
We obtain total DFT energy (no corrections) values of -8.29 -10.65 -9.48 -8.44 eV/atom for the records listed above, in that order.